# 1
A plane-wave DFT calculation with PBE-GGA was carried out for a relaxed DyMgIrAu crystal.

a = 4.7860 Å, b = 4.7860 Å, c = 4.7860 Å
α = 60.00°, β = 60.00°, γ = 60.00°
Positions (direct):
Dy1 0.7500 0.7500 0.7500
Ir1 0.0000 0.0000 0.0000
Au1 0.5000 0.5000 0.5000
Mg1 0.2500 0.2500 0.2500

Calculated values
**Space group**: F-43m, No. 216
**Energy**: -20.82 eV per cell


# 2
A plane-wave DFT calculation with PBE-GGA was carried out for a relaxed Cr2PtCl crystal.

a = 3.4031 Å, b = 3.4031 Å, c = 7.6304 Å
α = 77.98°, β = 77.98°, γ = 54.43°
Last column: magnetic moment on the atom in μB.
Positions (direct):
Pt1 0.7500 0.7500 0.7500  0.17
Cr1 0.9913 0.9913 0.9918  3.58
Cr2 0.5087 0.5087 0.5082  3.58
Cl1 0.2500 0.2500 0.2500  0.01

Calculated values
**Space group**: C2/m, No. 12
**Polymorph energy (0 for the lowest one)**: 137.1 meV per atom
**E_form (uncorrected)**: 0.131 eV/atom


# 3
A plane-wave DFT calculation with PBE-GGA was carried out for a relaxed AcTbPrY crystal.

a = 5.9014 Å, b = 5.9014 Å, c = 5.9014 Å
α = 60.00°, β = 60.00°, γ = 60.00°
Positions (direct):
Tb1 0.2500 0.2500 0.2500
Pr1 0.0000 0.0000 0.0000
Y1 0.7500 0.7500 0.7500
Ac1 0.5000 0.5000 0.5000

Calculated values
**Space group**: F-43m, No. 216
**Polymorph energy (0 for the lowest one)**: 57.1 meV per atom


# 4
A plane-wave DFT calculation with PBE-GGA was carried out for a relaxed CePu2Cu2Sb2 crystal.

a = 4.5692 Å, b = 4.5692 Å, c = 9.4029 Å
α = 75.94°, β = 75.94°, γ = 60.00°
Last column: magnetic moment on the atom in μB.
Positions (direct):
Cu1 0.5723 0.5723 0.2830  0.03
Cu2 0.4277 0.4277 0.7170  0.03
Pu1 0.1421 0.1421 0.5738  5.60
Pu2 0.8579 0.8579 0.4262  5.60
Sb1 0.2634 0.2634 0.2098  -0.02
Sb2 0.7366 0.7366 0.7902  -0.02
Ce1 0.0000 0.0000 0.0000  1.03

Calculated values
**Space group**: R-3m, No. 166
**E_form (uncorrected)**: -0.327 eV/atom


# 5
A plane-wave DFT calculation with PBE-GGA was carried out for a relaxed TlVTe4 crystal.

a = 6.3271 Å, b = 8.8679 Å, c = 8.3671 Å
α = 58.00°, β = 77.41°, γ = 65.72°
Positions (direct):
Te1 0.0537 0.0593 0.6971
Te2 0.4463 0.2436 0.6971
Te3 0.3531 0.1841 0.1456
Te4 0.8531 0.3296 0.8544
Te5 0.5537 0.7564 0.3029
Te6 0.9463 0.9407 0.3029
Te7 0.6469 0.8159 0.8544
Te8 0.1469 0.6704 0.1456
Tl1 0.7500 0.3693 0.2613
Tl2 0.2500 0.6307 0.7387
V1 0.7500 0.0006 0.9988
V2 0.2500 0.9994 0.0012

Calculated values
**Space group**: C2/c, No. 15
**Polymorph energy (0 for the lowest one)**: 0.0 meV per atom
**E_form (uncorrected)**: -0.147 eV/atom


# 6
A plane-wave DFT calculation with PBE-GGA was carried out for a relaxed Na3LaTc crystal.

a = 5.8967 Å, b = 5.8967 Å, c = 5.8967 Å
α = 90.00°, β = 90.00°, γ = 90.00°
Last column: magnetic moment on the atom in μB.
Positions (direct):
La1 0.0000 0.0000 0.0000  -1.00
Tc1 0.5000 0.5000 0.5000  3.59
Na1 0.0000 0.5000 0.0000  -0.06
Na2 0.5000 0.0000 0.0000  -0.07
Na3 0.0000 0.0000 0.5000  -0.05

Calculated values
**Space group**: Pm-3m, No. 221
**Polymorph energy (0 for the lowest one)**: 1880.6 meV per atom


# 7
A plane-wave DFT calculation with PBE-GGA was carried out for a relaxed Ba2BePt crystal.

a = 4.5804 Å, b = 4.5804 Å, c = 8.3809 Å
α = 74.20°, β = 74.20°, γ = 59.93°
Positions (direct):
Ba1 0.9908 0.9908 0.0267
Ba2 0.5092 0.5092 0.4733
Pt1 0.2500 0.2500 0.2500
Be1 0.7500 0.7500 0.7500

Calculated values
**Space group**: C2/m, No. 12
**Energy**: -13.33 eV per cell


# 8
A plane-wave DFT calculation with PBE-GGA was carried out for a relaxed Pu2HgPd crystal.

a = 4.5561 Å, b = 4.4625 Å, c = 4.4625 Å
α = 90.00°, β = 90.00°, γ = 90.00°
Last column: magnetic moment on the atom in μB.
Positions (direct):
Pu1 0.0000 0.0000 0.5000  5.52
Pu2 0.0000 0.5000 0.0000  5.52
Pd1 0.5000 0.0000 0.0000  0.04
Hg1 0.5000 0.5000 0.5000  0.02

Calculated values
**Space group**: P4/mmm, No. 123
**Polymorph energy (0 for the lowest one)**: 36.3 meV per atom


One value per record, in order, for volume: 19.38 17.47 36.33 23.31 30.24 41.01 36.11 22.68 A^3/atom.